[1]
# CdGaPCl2 (PBE, optimized geometry)
data_CdGaPCl2
_chemical_formula_sum 'Cd1 Ga1 P1 Cl2'
_cell_length_a 5.416
_cell_length_b 5.416
_cell_length_c 5.084
_cell_angle_alpha 90.00
_cell_angle_beta 90.00
_cell_angle_gamma 90.00
_space_group_name_H-M_alt 'P 1'
_space_group_IT_number 1
_space_group_name_Hall 'P 1'
loop_
_atom_site_label
_atom_site_fract_x
_atom_site_fract_y
_atom_site_fract_z
_atom_site_occupancy
Cd1 0.000 0.000 0.000 1
Ga1 0.500 0.500 0.500 1
P1 0.000 0.000 0.500 1
Cl1 0.000 0.500 0.000 1
Cl2 0.500 0.000 0.000 1
# energy relative to the elements, uncorrected: -0.011 eV/atom
# symmetry: P4/mmm, No. 123
# E above lowest polymorph: 69 meV per atom

=====

[2]
# CdGaPCl2 (PBE, optimized geometry)
data_CdGaPCl2
_chemical_formula_sum 'Cd1 Ga1 P1 Cl2'
_cell_length_a 4.777
_cell_length_b 4.777
_cell_length_c 5.097
_cell_angle_alpha 90.00
_cell_angle_beta 90.00
_cell_angle_gamma 90.00
_space_group_name_H-M_alt 'P 1'
_space_group_IT_number 1
_space_group_name_Hall 'P 1'
loop_
_atom_site_label
_atom_site_fract_x
_atom_site_fract_y
_atom_site_fract_z
_atom_site_occupancy
Cd1 0.000 0.000 0.000 1
Ga1 0.500 0.500 0.500 1
P1 0.500 0.500 0.000 1
Cl1 0.000 0.500 0.500 1
Cl2 0.500 0.000 0.500 1
# energy relative to the elements, uncorrected: -0.080 eV/atom
# symmetry: P4/mmm, No. 123
# E above lowest polymorph: 0 meV per atom

=====

[3]
# CdGaP2Cl (PBE, optimized geometry)
data_CdGaP2Cl
_chemical_formula_sum 'Cd1 Ga1 P2 Cl1'
_cell_length_a 4.778
_cell_length_b 4.778
_cell_length_c 4.923
_cell_angle_alpha 90.00
_cell_angle_beta 90.00
_cell_angle_gamma 90.00
_space_group_name_H-M_alt 'P 1'
_space_group_IT_number 1
_space_group_name_Hall 'P 1'
loop_
_atom_site_label
_atom_site_fract_x
_atom_site_fract_y
_atom_site_fract_z
_atom_site_occupancy
Cd1 0.000 0.000 0.000 1
Ga1 0.500 0.500 0.500 1
P1 0.000 0.500 0.500 1
P2 0.500 0.000 0.500 1
Cl1 0.500 0.500 0.000 1
# energy relative to the elements, uncorrected: 0.448 eV/atom
# symmetry: P4/mmm, No. 123
# E above lowest polymorph: 0 meV per atom

=====

[4]
# CdGaP2Cl (PBE, optimized geometry)
data_CdGaP2Cl
_chemical_formula_sum 'Cd1 Ga1 P2 Cl1'
_cell_length_a 4.984
_cell_length_b 4.984
_cell_length_c 5.644
_cell_angle_alpha 90.00
_cell_angle_beta 90.00
_cell_angle_gamma 90.00
_space_group_name_H-M_alt 'P 1'
_space_group_IT_number 1
_space_group_name_Hall 'P 1'
loop_
_atom_site_label
_atom_site_fract_x
_atom_site_fract_y
_atom_site_fract_z
_atom_site_occupancy
Cd1 0.000 0.000 0.000 1
Ga1 0.500 0.500 0.500 1
P1 0.000 0.500 0.000 1
P2 0.500 0.000 0.000 1
Cl1 0.000 0.000 0.500 1
# energy relative to the elements, uncorrected: 0.649 eV/atom
# symmetry: P4/mmm, No. 123
# E above lowest polymorph: 200 meV per atom

=====

[5]
# Cd2GaPdCl (PBE, optimized geometry)
data_Cd2GaPdCl
_chemical_formula_sum 'Cd2 Ga1 Pd1 Cl1'
_cell_length_a 5.576
_cell_length_b 5.576
_cell_length_c 4.567
_cell_angle_alpha 90.00
_cell_angle_beta 90.00
_cell_angle_gamma 90.00
_space_group_name_H-M_alt 'P 1'
_space_group_IT_number 1
_space_group_name_Hall 'P 1'
loop_
_atom_site_label
_atom_site_fract_x
_atom_site_fract_y
_atom_site_fract_z
_atom_site_occupancy
Cd1 0.000 0.500 0.000 1
Cd2 0.500 0.000 0.000 1
Ga1 0.000 0.000 0.500 1
Pd1 0.500 0.500 0.500 1
Cl1 0.500 0.500 0.000 1
# energy relative to the elements, uncorrected: 0.349 eV/atom
# symmetry: P4/mmm, No. 123

=====

[6]
# RbCdGa2Cl8 (PBE, optimized geometry)
data_RbCdGa2Cl8
_chemical_formula_sum 'Rb1 Cd1 Ga2 Cl8'
_cell_length_a 10.439
_cell_length_b 10.439
_cell_length_c 10.439
_cell_angle_alpha 37.56
_cell_angle_beta 37.56
_cell_angle_gamma 37.56
_space_group_name_H-M_alt 'P 1'
_space_group_IT_number 1
_space_group_name_Hall 'P 1'
loop_
_atom_site_label
_atom_site_fract_x
_atom_site_fract_y
_atom_site_fract_z
_atom_site_occupancy
Rb1 0.000 0.000 0.000 1
Cd1 0.500 0.500 0.500 1
Ga1 0.253 0.253 0.253 1
Ga2 0.747 0.747 0.747 1
Cl1 0.066 0.444 0.803 1
Cl2 0.197 0.934 0.556 1
Cl3 0.329 0.329 0.329 1
Cl4 0.444 0.803 0.066 1
Cl5 0.556 0.197 0.934 1
Cl6 0.671 0.671 0.671 1
Cl7 0.803 0.066 0.444 1
Cl8 0.934 0.556 0.197 1
# energy relative to the elements, uncorrected: -1.189 eV/atom
# symmetry: R-3, No. 148